# 1
The following is a PBE-GGA calculation of TmNp2NbN4 after structural relaxation, from Alexandria.

Lattice parameters (Å, degrees): 5.785 3.346 5.802 90.00 109.50 90.00
Atoms (fractional coordinates):
1 Tm 0.000 0.000 0.000
2 Np 0.500 0.000 0.500
3 Np 0.500 0.500 0.000
4 Nb 0.000 0.500 0.500
5 N 0.238 0.000 0.738
6 N 0.245 0.500 0.258
7 N 0.755 0.500 0.742
8 N 0.762 0.000 0.262

Fermi-level density of states = 1.56 states/eV/atom
SG = P2/m
formation energy from raw total energies = -1.279 eV per atom
spin magnetization = 5.8 μB/f.u.

# 2
The following is a PBE-GGA calculation of Np3UNb2N6 after structural relaxation, from Alexandria.

Lattice parameters (Å, degrees): 5.779 5.779 5.753 99.66 99.66 119.99
Atoms (fractional coordinates):
1 Np 0.000 0.000 0.000
2 Np 0.333 0.667 0.000
3 Np 0.667 0.333 0.000
4 U 0.500 0.500 0.500
5 Nb 0.166 0.834 0.500
6 Nb 0.834 0.166 0.500
7 N 0.079 0.422 0.267
8 N 0.234 0.234 0.731
9 N 0.422 0.079 0.267
10 N 0.578 0.921 0.733
11 N 0.766 0.766 0.269
12 N 0.921 0.578 0.733

Fermi-level density of states = 1.48 states/eV/atom
SG = C2/m
formation energy from raw total energies = -1.184 eV per atom
spin magnetization = 9.8 μB/f.u.